Material: TiBrOF2
Method: DFT, SCAN
State: PBEsol geometry

Cell: 3.6833 4.7733 4.7733 Å, 90.00 90.00 90.00°
Last column: nearest neighbours and their distance in Å.
Element x y z (fractional)
1 F 0.0000 0.5000 0.0000  2 Br 2.39
2 F 0.0000 0.0000 0.5000  2 Br 2.39
3 O 0.5000 0.0000 0.0000  2 Br 1.84
4 Ti 0.5000 0.5000 0.5000  8 F 3.01, 4 O 3.38
5 Br 0.0000 0.0000 0.0000  2 O 1.84

Raw formation energy (kJ/mol of formula units): -128
DOS at the Fermi energy (states/eV per cell): 3.72
Total DFT energy (no corrections) (eV per atom): -10.02
ρ (Mg/m³): 3.60

Material: ZnBrO2F
Method: DFT, SCAN
State: PBEsol geometry

Cell: 3.7362 3.7362 5.3162 Å, 90.00 90.00 90.00°
Last column: nearest neighbours and their distance in Å.
Element x y z (fractional)
1 O 0.0000 0.5000 0.0000  2 Br 1.87
2 O 0.5000 0.0000 0.0000  2 Br 1.87
3 Zn 0.5000 0.5000 0.5000  4 F 2.64
4 Br 0.0000 0.0000 0.0000  4 O 1.87
5 F 0.0000 0.0000 0.5000  4 Zn 2.64, 2 Br 2.66

Raw formation energy (kJ/mol of formula units): 85
DOS at the Fermi energy (states/eV per cell): 1.30
Total DFT energy (no corrections) (eV per atom): -9.62
ρ (Mg/m³): 4.39